The following is a PBE calculation of a geometry-optimized TbTmInPb structure, from Alexandria via LeMat-Bulk.

The value obtained for the total magnetization is 0.00 μB/atom. The calculation puts the energy at -17.255 eV per formula unit. For the energy of formation from the pure elements, the calculation gives -427 meV per atom.

The space group is I-4m2 (No. 119) and the conventional cell measures 4.959, 4.959 and 8.825 Å, with angles of 90.00, 90.00 and 90.00 degrees. The distinct sites, in fractional coordinates, are Tb at (0.000, 0.000, 0.000), Tm at (0.000, 0.000, 0.500), In at (0.000, 0.500, 0.250) and Pb at (0.000, 0.500, 0.750).